Record 1
## B2IrS6 (PBE-GGA)

Data for B2IrS6 after structural relaxation.

Lattice parameters (Å, degrees): 5.8984 7.2875 7.2875 79.57 80.78 80.78
Closest atoms and distances in Å follow each position.
Element x y z (fractional)
1 B 0.1588 0.6474 0.7967  4 S 1.91-1.95
2 B 0.3412 0.2033 0.3526  4 S 1.91-1.95
3 B 0.8412 0.3526 0.2033  4 S 1.91-1.95
4 B 0.6588 0.7967 0.6474  4 S 1.91-1.95
5 Ir 0.2500 0.1150 0.8850  6 S 2.31-2.43
6 Ir 0.7500 0.8850 0.1150  6 S 2.31-2.43
7 S 0.3789 0.7285 0.5869  2 B 1.91-1.93
8 S 0.1211 0.4131 0.2715  2 B 1.91-1.93
9 S 0.6211 0.2715 0.4131  2 B 1.91-1.93
10 S 0.8789 0.5869 0.7285  2 B 1.91-1.93
11 S 0.8319 0.9000 0.4107  1 B 1.95
12 S 0.6681 0.5893 0.1000  1 B 1.95
13 S 0.1681 0.1000 0.5893  1 B 1.95
14 S 0.3319 0.4107 0.9000  1 B 1.95
15 S 0.1385 0.8012 0.9872  1 B 1.91
16 S 0.3615 0.0128 0.1988  1 B 1.91
17 S 0.8615 0.1988 0.0128  1 B 1.91
18 S 0.6385 0.9872 0.8012  1 B 1.91

Calculated values
Space group: C2/c
Magnetic moment in μB/atom: 0.0000
Uncorrected energy in eV/cell: -96.85

Record 2
## BIr3S (PBE-GGA)

Data for BIr3S after structural relaxation.

Lattice parameters (Å, degrees): 4.1380 4.1380 4.1380 90.00 90.00 90.00
Closest atoms and distances in Å follow each position.
Element x y z (fractional)
1 S 0.5000 0.5000 0.5000  12 Ir 2.93
2 Ir 0.0000 0.5000 0.0000  2 B 2.07
3 Ir 0.0000 0.0000 0.5000  2 B 2.07
4 Ir 0.5000 0.0000 0.0000  2 B 2.07
5 B 0.0000 0.0000 0.0000  6 Ir 2.07

Calculated values
Energy above the most stable polymorph in this dataset in meV per atom: 0.0
Space group: Pm-3m
Magnetic moment in μB/atom: 0.0000
Uncorrected energy in eV/cell: -34.00

Number 2 is which compound? BIr3S